Computed, not measured: KMo2Ru after structural relaxation at the PBE level of DFT.

VASP energy   -29.0 eV/cell
Total magnetic moment   0.00 μB/atom
Energy above the lowest structure with this stoichiometry   38 meV per atom
Energy of formation from the pure elements   0.7678 eV per atom

a b c (Å): 3.8988 2.7820 8.2408
angles (deg): 85.45 90.00 90.00
Fractional coordinates of all 4 atoms:
Mo1 0.0000 0.7181 0.3985
Mo2 0.0000 0.7819 0.1015
K1 0.5000 0.7500 0.7500
Ru1 0.5000 0.2500 0.2500

***

Computed, not measured: Ga2HgCl2 after structural relaxation at the PBE level of DFT.

VASP energy   -12.2 eV/cell
Total magnetic moment   0.00 μB/atom

a b c (Å): 5.6504 5.6504 10.1268
angles (deg): 106.20 106.20 90.00
Fractional coordinates of all 5 atoms:
Cl1 0.7843 0.7843 0.5685
Ga1 0.7500 0.2500 0.5000
Cl2 0.2157 0.2157 0.4315
Hg1 0.0000 0.0000 0.0000
Ga2 0.2500 0.7500 0.5000

***

Question: Among the records above, which one has the lowest VASP energy?
Answer: KMo2Ru